First-principles (PBE-GGA) data for a geometry-optimized GdPaHgAu structure, as listed in the Alexandria database.

```
data_GdPaHgAu
_chemical_formula_sum 'Gd1 Pa1 Hg1 Au1'
_symmetry_space_group_name_H-M 'P 1'
_symmetry_Int_Tables_number 1
_symmetry_space_group_name_Hall 'P 1'
_cell_length_a 5.2111
_cell_length_b 5.2111
_cell_length_c 5.2111
_cell_angle_alpha 60.00
_cell_angle_beta 60.00
_cell_angle_gamma 60.00
loop_
_atom_site_label
_atom_site_fract_x
_atom_site_fract_y
_atom_site_fract_z
Hg1 0.5000 0.5000 0.5000
Gd1 0.2500 0.2500 0.2500
Pa1 0.7500 0.7500 0.7500
Au1 0.0000 0.0000 0.0000
```

# KZnBi3 PBE-GGA relaxed
data_KZnBi3
_chemical_formula_sum 'K1 Zn1 Bi3'
_symmetry_space_group_name_H-M 'P 1'
_symmetry_Int_Tables_number 1
_symmetry_space_group_name_Hall 'P 1'
_cell_length_a 6.0062
_cell_length_b 6.0062
_cell_length_c 6.0062
_cell_angle_alpha 90.00
_cell_angle_beta 90.00
_cell_angle_gamma 90.00
loop_
_atom_site_label
_atom_site_fract_x
_atom_site_fract_y
_atom_site_fract_z
Zn1 0.5000 0.5000 0.5000
Bi1 0.0000 0.5000 0.0000
Bi2 0.0000 0.0000 0.5000
Bi3 0.5000 0.0000 0.0000
K1 0.0000 0.0000 0.0000
# Distance to the lowest polymorph of the same formula   1218 meV/atom

First-principles (PBE-GGA) data for a geometry-optimized CaPuAsAu structure, as listed in the Alexandria database.

```
data_CaPuAsAu
_chemical_formula_sum 'Ca1 Pu1 As1 Au1'
_symmetry_space_group_name_H-M 'P 1'
_symmetry_Int_Tables_number 1
_symmetry_space_group_name_Hall 'P 1'
_cell_length_a 5.1320
_cell_length_b 5.1320
_cell_length_c 5.1320
_cell_angle_alpha 60.00
_cell_angle_beta 60.00
_cell_angle_gamma 60.00
loop_
_atom_site_label
_atom_site_fract_x
_atom_site_fract_y
_atom_site_fract_z
Ca1 0.5000 0.5000 0.5000
Au1 0.7500 0.7500 0.7500
Pu1 0.0000 0.0000 0.0000
As1 0.2500 0.2500 0.2500
```

no.,calculated formation energy (meV/atom)
1,-232.3
2,1146.8
3,-759.5